--- one ---
# IrOs2Rh4 | the Alexandria database | PBE | relaxed
data_IrOs2Rh4
_cell_length_a 3.8303
_cell_length_b 3.8303
_cell_length_c 32.2103
_cell_angle_alpha 90.00
_cell_angle_beta 90.00
_cell_angle_gamma 120.00
_symmetry_space_group_name_H-M 'R -3 m'
_symmetry_Int_Tables_number 166
_symmetry_space_group_name_Hall '-R 3 2"'
loop_
_atom_site_label
_atom_site_fract_x
_atom_site_fract_y
_atom_site_fract_z
Ir1 0.0000 0.0000 0.0000
Os1 0.0000 0.0000 0.2245
Rh1 0.0000 0.0000 0.1391
Rh2 0.0000 0.0000 0.2964
# Crystal system ... trigonal
# Density of states at the Fermi level ... 15.103 states/eV per cell
# Volume ... 409 Å³ per cell
# Theoretical density ... 11982 kg/m3

=====

--- two ---
# IrOs2Rh4 | the Alexandria database | PBE | relaxed
data_IrOs2Rh4
_cell_length_a 5.3947
_cell_length_b 7.5341
_cell_length_c 5.3506
_cell_angle_alpha 90.00
_cell_angle_beta 90.00
_cell_angle_gamma 90.00
_symmetry_space_group_name_H-M 'C m m m'
_symmetry_Int_Tables_number 65
_symmetry_space_group_name_Hall '-C 2 2'
loop_
_atom_site_label
_atom_site_fract_x
_atom_site_fract_y
_atom_site_fract_z
Ir1 0.0000 0.0000 0.0000
Os1 0.0000 0.5000 0.0000
Os2 0.0000 0.5000 0.5000
Rh1 0.2500 0.2500 0.2559
# Crystal system ... orthorhombic
# Density of states at the Fermi level ... 17.717 states/eV per cell
# Volume ... 217 Å³ per cell
# Theoretical density ... 15032 kg/m3

=====

Stability ranking, top entry: two; the second entry is 62.8 kJ/mol of atoms less favorable.

=====

--- one ---
# Ir3Os2Rh | the Alexandria database | PBE | relaxed
data_Ir3Os2Rh
_cell_length_a 2.7411
_cell_length_b 14.2256
_cell_length_c 8.8731
_cell_angle_alpha 90.00
_cell_angle_beta 90.00
_cell_angle_gamma 90.00
_symmetry_space_group_name_H-M 'C m c m'
_symmetry_Int_Tables_number 63
_symmetry_space_group_name_Hall '-C 2c 2'
loop_
_atom_site_label
_atom_site_fract_x
_atom_site_fract_y
_atom_site_fract_z
Ir1 0.0000 0.1096 0.2500
Ir2 0.0000 0.3364 0.5008
Os1 0.0000 0.0000 0.0000
Os2 0.0000 0.4435 0.2500
Rh1 0.0000 0.2199 0.7500
# Crystal system ... orthorhombic
# Density of states at the Fermi level ... 21.145 states/eV per cell
# Volume ... 346 Å³ per cell
# Theoretical density ... 20349 kg/m3

=====

--- two ---
# Ir3Os2Rh | the Alexandria database | PBE | relaxed
data_Ir3Os2Rh
_cell_length_a 5.4524
_cell_length_b 3.8501
_cell_length_c 8.2367
_cell_angle_alpha 90.00
_cell_angle_beta 90.11
_cell_angle_gamma 90.00
_symmetry_space_group_name_H-M 'P 1 21/m 1'
_symmetry_Int_Tables_number 11
loop_
_symmetry_equiv_pos_as_xyz
'x,y,z'
'-x,-y,-z'
'-x,y+1/2,-z'
'x,-y+1/2,z'
loop_
_atom_site_label
_atom_site_fract_x
_atom_site_fract_y
_atom_site_fract_z
Ir1 0.1244 0.2500 0.2458
Ir2 0.1265 0.2500 0.5806
Ir3 0.3735 0.7500 0.0839
Os1 0.1205 0.2500 0.9243
Os2 0.3792 0.7500 0.4215
Rh1 0.3751 0.7500 0.7455
# Crystal system ... monoclinic
# Density of states at the Fermi level ... 9.358 states/eV per cell
# Volume ... 173 Å³ per cell
# Theoretical density ... 20360 kg/m3

=====

Stability ranking, top entry: two; the second entry is 0.9 kJ/mol of atoms less favorable.

=====

--- one ---
# IrOs2Rh6 | the Alexandria database | PBE | relaxed
data_IrOs2Rh6
_cell_length_a 8.5935
_cell_length_b 3.8386
_cell_length_c 8.1720
_cell_angle_alpha 90.00
_cell_angle_beta 108.24
_cell_angle_gamma 90.00
_symmetry_space_group_name_H-M 'C 1 2/m 1'
_symmetry_Int_Tables_number 12
loop_
_symmetry_equiv_pos_as_xyz
'x,y,z'
'-x,-y,-z'
'-x,y,-z'
'x,-y,z'
'x+1/2,y+1/2,z'
'-x+1/2,-y+1/2,-z'
'-x+1/2,y+1/2,-z'
'x+1/2,-y+1/2,z'
loop_
_atom_site_label
_atom_site_fract_x
_atom_site_fract_y
_atom_site_fract_z
Ir1 0.0000 0.0000 0.0000
Os1 0.1681 0.5000 0.5519
Rh1 0.0022 0.0000 0.3342
Rh2 0.1681 0.5000 0.2272
Rh3 0.1696 0.5000 0.8886
# Crystal system ... monoclinic
# Density of states at the Fermi level ... 20.196 states/eV per cell
# Volume ... 256 Å³ per cell
# Theoretical density ... 15438 kg/m3

=====

--- two ---
# IrOs2Rh6 | the Alexandria database | PBE | relaxed
data_IrOs2Rh6
_cell_length_a 11.5714
_cell_length_b 3.8446
_cell_length_c 6.0755
_cell_angle_alpha 90.00
_cell_angle_beta 108.61
_cell_angle_gamma 90.00
_symmetry_space_group_name_H-M 'C 1 2/m 1'
_symmetry_Int_Tables_number 12
loop_
_symmetry_equiv_pos_as_xyz
'x,y,z'
'-x,-y,-z'
'-x,y,-z'
'x,-y,z'
'x+1/2,y+1/2,z'
'-x+1/2,-y+1/2,-z'
'-x+1/2,y+1/2,-z'
'x+1/2,-y+1/2,z'
loop_
_atom_site_label
_atom_site_fract_x
_atom_site_fract_y
_atom_site_fract_z
Ir1 0.0000 0.0000 0.0000
Os1 0.0557 0.5000 0.3394
Rh1 0.1069 0.0000 0.6659
Rh2 0.1645 0.5000 0.0022
Rh3 0.2186 0.0000 0.3372
# Crystal system ... monoclinic
# Density of states at the Fermi level ... 16.784 states/eV per cell
# Volume ... 256 Å³ per cell
# Theoretical density ... 15430 kg/m3

=====

Stability ranking, top entry: two; the second entry is 1.6 kJ/mol of atoms less favorable.

=====

--- one ---
# IrOsRh4 | the Alexandria database | PBE | relaxed
data_IrOsRh4
_cell_length_a 5.1401
_cell_length_b 6.2316
_cell_length_c 6.5387
_cell_angle_alpha 116.33
_cell_angle_beta 96.59
_cell_angle_gamma 102.25
_symmetry_space_group_name_H-M 'P -1'
_symmetry_Int_Tables_number 2
loop_
_symmetry_equiv_pos_as_xyz
'x,y,z'
'-x,-y,-z'
loop_
_atom_site_label
_atom_site_fract_x
_atom_site_fract_y
_atom_site_fract_z
Ir1 0.2151 0.1537 0.4924
Os1 0.2158 0.4336 0.9387
Rh1 0.0540 0.7943 0.8483
Rh2 0.2162 0.6993 0.4019
Rh3 0.4899 0.3645 0.2670
Rh4 0.4970 0.0914 0.8244
# Crystal system ... triclinic
# Density of states at the Fermi level ... 14.978 states/eV per cell
# Volume ... 178 Å³ per cell
# Theoretical density ... 14803 kg/m3

=====

--- two ---
# IrOsRh4 | the Alexandria database | PBE | relaxed
data_IrOsRh4
_cell_length_a 7.0965
_cell_length_b 7.0965
_cell_length_c 7.0965
_cell_angle_alpha 90.00
_cell_angle_beta 90.00
_cell_angle_gamma 90.00
_symmetry_space_group_name_H-M 'F -4 3 m'
_symmetry_Int_Tables_number 216
_symmetry_space_group_name_Hall 'F -4 2 3'
loop_
_atom_site_label
_atom_site_fract_x
_atom_site_fract_y
_atom_site_fract_z
Ir1 0.0000 0.0000 0.0000
Os1 0.2500 0.2500 0.7500
Rh1 0.1250 0.1250 0.3750
# Crystal system ... cubic
# Density of states at the Fermi level ... 34.400 states/eV per cell
# Volume ... 357 Å³ per cell
# Theoretical density ... 14758 kg/m3

=====

--- three ---
# IrOsRh4 | the Alexandria database | PBE | relaxed
data_IrOsRh4
_cell_length_a 5.3606
_cell_length_b 5.3606
_cell_length_c 6.6315
_cell_angle_alpha 90.00
_cell_angle_beta 90.00
_cell_angle_gamma 90.00
_symmetry_space_group_name_H-M 'P -4 2 c'
_symmetry_Int_Tables_number 112
loop_
_symmetry_equiv_pos_as_xyz
'x,y,z'
'y,-x,-z'
'-x,-y,z'
'-y,x,-z'
'x,-y,-z+1/2'
'y,x,z+1/2'
'-x,y,-z+1/2'
'-y,-x,z+1/2'
loop_
_atom_site_label
_atom_site_fract_x
_atom_site_fract_y
_atom_site_fract_z
Ir1 0.0000 0.5000 0.2500
Os1 0.0000 0.0000 0.0000
Rh1 0.2253 0.3722 0.9052
# Crystal system ... tetragonal
# Density of states at the Fermi level ... 14.885 states/eV per cell
# Volume ... 191 Å³ per cell
# Theoretical density ... 13839 kg/m3

=====

Stability ranking, top entry: one; the second entry is 39.2 kJ/mol of atoms less favorable.

=====

--- one ---
# Ir4OsRh2 | the Alexandria database | PBE | relaxed
data_Ir4OsRh2
_cell_length_a 7.5707
_cell_length_b 7.6739
_cell_length_c 3.7694
_cell_angle_alpha 90.00
_cell_angle_beta 90.00
_cell_angle_gamma 90.00
_symmetry_space_group_name_H-M 'C m m m'
_symmetry_Int_Tables_number 65
_symmetry_space_group_name_Hall '-C 2 2'
loop_
_atom_site_label
_atom_site_fract_x
_atom_site_fract_y
_atom_site_fract_z
Ir1 0.0000 0.2473 0.0000
Ir2 0.2500 0.2500 0.5000
Os1 0.0000 0.0000 0.5000
Rh1 0.2426 0.5000 0.0000
# Crystal system ... orthorhombic
# Density of states at the Fermi level ... 10.782 states/eV per cell
# Volume ... 219 Å³ per cell
# Theoretical density ... 17666 kg/m3

=====

--- two ---
# Ir4OsRh2 | the Alexandria database | PBE | relaxed
data_Ir4OsRh2
_cell_length_a 7.6071
_cell_length_b 7.6071
_cell_length_c 7.5949
_cell_angle_alpha 90.00
_cell_angle_beta 90.00
_cell_angle_gamma 90.00
_symmetry_space_group_name_H-M 'I -4 2 d'
_symmetry_Int_Tables_number 122
_symmetry_space_group_name_Hall 'I -4 2bw'
loop_
_atom_site_label
_atom_site_fract_x
_atom_site_fract_y
_atom_site_fract_z
Ir1 0.0878 0.1686 0.2804
Os1 0.0000 0.0000 0.0000
Rh1 0.1185 0.2500 0.6250
# Crystal system ... tetragonal
# Density of states at the Fermi level ... 35.830 states/eV per cell
# Volume ... 439 Å³ per cell
# Theoretical density ... 17605 kg/m3

=====

Stability ranking, top entry: one; the second entry is 29.5 kJ/mol of atoms less favorable.